[1]
# Np2Tc2C3 PBE relaxed
data_Np2Tc2C3
_chemical_formula_sum 'Np2 Tc2 C3'
_space_group_name_H-M_alt 'P 1'
_space_group_IT_number 1
_cell_length_a 3.164
_cell_length_b 5.594
_cell_length_c 6.146
_cell_angle_alpha 113.13
_cell_angle_beta 104.91
_cell_angle_gamma 90.00
loop_
_space_group_symop_operation_xyz
'x,y,z'
loop_
_atom_site_label
_atom_site_fract_x
_atom_site_fract_y
_atom_site_fract_z
C1 0.000 0.000 0.000
Tc1 0.844 0.670 0.688
Np1 0.602 0.804 0.204
Np2 0.398 0.196 0.796
C2 0.249 0.750 0.499
Tc2 0.156 0.330 0.312
C3 0.751 0.250 0.501
# - E_tot (eV per atom) = -10.67
# - space-group type = No. 12
# - ΔH_f (0 K) (eV per atom) = -0.05

[2]
# Tm2NpTc2C4 PBE relaxed
data_Tm2NpTc2C4
_chemical_formula_sum 'Tm2 Np1 Tc2 C4'
_space_group_name_H-M_alt 'P 1'
_space_group_IT_number 1
_cell_length_a 3.373
_cell_length_b 6.639
_cell_length_c 6.048
_cell_angle_alpha 108.06
_cell_angle_beta 90.00
_cell_angle_gamma 104.72
loop_
_space_group_symop_operation_xyz
'x,y,z'
loop_
_atom_site_label
_atom_site_fract_x
_atom_site_fract_y
_atom_site_fract_z
Tc1 0.674 0.348 0.996
C1 0.479 0.958 0.266
C2 0.229 0.458 0.235
Tm1 0.135 0.270 0.537
Tm2 0.865 0.730 0.463
Np1 0.000 0.000 0.000
Tc2 0.326 0.652 0.004
C3 0.771 0.542 0.765
C4 0.521 0.042 0.734
# - E_tot (eV per atom) = -8.82
# - space-group type = No. 12
# - ΔH_f (0 K) (eV per atom) = 0.02

[3]
# NpTeC PBE relaxed
data_NpTeC
_chemical_formula_sum 'Np2 Te2 C2'
_space_group_name_H-M_alt 'P 1'
_space_group_IT_number 1
_cell_length_a 3.896
_cell_length_b 6.090
_cell_length_c 5.999
_cell_angle_alpha 73.91
_cell_angle_beta 71.05
_cell_angle_gamma 71.35
loop_
_space_group_symop_operation_xyz
'x,y,z'
loop_
_atom_site_label
_atom_site_fract_x
_atom_site_fract_y
_atom_site_fract_z
C1 0.787 0.348 0.079
Te1 0.554 0.212 0.681
C2 0.213 0.652 0.921
Np1 0.789 0.655 0.767
Te2 0.446 0.788 0.319
Np2 0.211 0.345 0.233
# - E_tot (eV per atom) = -8.25
# - space-group type = No. 12
# - formation energy (no corrections) (eV per atom) = 0.189

[4]
# NpUTe2C PBE relaxed
data_NpUTe2C
_chemical_formula_sum 'Np2 U2 Te4 C2'
_space_group_name_H-M_alt 'P 1'
_space_group_IT_number 1
_cell_length_a 4.011
_cell_length_b 4.011
_cell_length_c 14.696
_cell_angle_alpha 90.00
_cell_angle_beta 90.00
_cell_angle_gamma 90.00
loop_
_space_group_symop_operation_xyz
'x,y,z'
loop_
_atom_site_label
_atom_site_fract_x
_atom_site_fract_y
_atom_site_fract_z
Te1 0.500 0.000 0.853
U1 0.000 0.500 0.423
U2 0.500 0.000 0.577
C1 0.500 0.500 0.500
Np1 0.000 0.500 0.930
Te2 0.000 0.500 0.687
Te3 0.500 0.000 0.313
C2 0.000 0.000 0.500
Te4 0.000 0.500 0.147
Np2 0.500 0.000 0.070
# - E_tot (eV per atom) = -8.35
# - space-group type = No. 129
# - formation energy (no corrections) (eV per atom) = -0.406

[5]
# ThNp2C PBE relaxed
data_ThNp2C
_chemical_formula_sum 'Th1 Np2 C1'
_space_group_name_H-M_alt 'P 1'
_space_group_IT_number 1
_cell_length_a 3.910
_cell_length_b 3.910
_cell_length_c 6.824
_cell_angle_alpha 73.35
_cell_angle_beta 73.35
_cell_angle_gamma 60.00
loop_
_space_group_symop_operation_xyz
'x,y,z'
loop_
_atom_site_label
_atom_site_fract_x
_atom_site_fract_y
_atom_site_fract_z
C1 0.500 0.500 0.500
Np1 0.805 0.805 0.586
Th1 0.000 0.000 0.000
Np2 0.195 0.195 0.414
# - E_tot (eV per atom) = -10.27
# - space-group type = No. 166
# - ΔH_f (0 K) (eV per atom) = 0.37

[6]
# Th2NpC PBE relaxed
data_Th2NpC
_chemical_formula_sum 'Th2 Np1 C1'
_space_group_name_H-M_alt 'P 1'
_space_group_IT_number 1
_cell_length_a 3.521
_cell_length_b 3.521
_cell_length_c 9.566
_cell_angle_alpha 79.40
_cell_angle_beta 79.40
_cell_angle_gamma 60.00
loop_
_space_group_symop_operation_xyz
'x,y,z'
loop_
_atom_site_label
_atom_site_fract_x
_atom_site_fract_y
_atom_site_fract_z
Np1 0.000 0.000 0.000
C1 0.500 0.500 0.500
Th1 0.113 0.113 0.661
Th2 0.887 0.887 0.339
# - E_tot (eV per atom) = -8.96
# - space-group type = No. 166
# - ΔH_f (0 K) (eV per atom) = 0.30

[7]
# Th2NpUC4 PBE relaxed
data_Th2NpUC4
_chemical_formula_sum 'Th2 Np1 U1 C4'
_space_group_name_H-M_alt 'P 1'
_space_group_IT_number 1
_cell_length_a 3.631
_cell_length_b 6.202
_cell_length_c 6.279
_cell_angle_alpha 70.68
_cell_angle_beta 90.00
_cell_angle_gamma 90.00
loop_
_space_group_symop_operation_xyz
'x,y,z'
loop_
_atom_site_label
_atom_site_fract_x
_atom_site_fract_y
_atom_site_fract_z
Np1 0.500 0.500 0.000
C1 0.500 0.299 0.736
C2 0.000 0.703 0.764
C3 0.500 0.701 0.264
U1 0.000 0.500 0.500
Th1 0.500 0.000 0.500
Th2 0.000 0.000 0.000
C4 0.000 0.297 0.236
# - E_tot (eV per atom) = -9.64
# - space-group type = No. 10
# - ΔH_f (0 K) (eV per atom) = -0.14

[8]
# NpTiC PBE relaxed
data_NpTiC
_chemical_formula_sum 'Np2 Ti2 C2'
_space_group_name_H-M_alt 'P 1'
_space_group_IT_number 1
_cell_length_a 5.372
_cell_length_b 5.372
_cell_length_c 5.492
_cell_angle_alpha 98.82
_cell_angle_beta 98.82
_cell_angle_gamma 133.37
loop_
_space_group_symop_operation_xyz
'x,y,z'
loop_
_atom_site_label
_atom_site_fract_x
_atom_site_fract_y
_atom_site_fract_z
C1 0.856 0.856 0.712
Ti1 0.345 0.345 0.690
C2 0.144 0.144 0.288
Np1 0.180 0.820 0.000
Ti2 0.655 0.655 0.310
Np2 0.820 0.180 0.000
# - E_tot (eV per atom) = -9.90
# - space-group type = No. 69
# - ΔH_f (0 K) (eV per atom) = 0.12
# - E above lowest polymorph (meV per atom) = 233

Question: E_tot of number 8 (NpTiC)?
Answer: -9.90 eV per atom